[1]
# Dy2ZrPaN4 | Alexandria via LeMat-Bulk | GGA-PBE | relaxed
data_Dy2ZrPaN4
_space_group_name_H-M_alt 'P 1'
_space_group_IT_number 1
_space_group_name_Hall 'P 1'
_cell_length_a 5.9162
_cell_length_b 3.4278
_cell_length_c 5.9314
_cell_angle_alpha 90.00
_cell_angle_beta 109.11
_cell_angle_gamma 90.00
loop_
_atom_site_label
_atom_site_type_symbol
_atom_site_fract_x
_atom_site_fract_y
_atom_site_fract_z
Dy1 Dy 0.0000 0.0000 0.0000
Dy2 Dy 0.5000 0.5000 0.0000
Zr1 Zr 0.0000 0.5000 0.5000
Pa1 Pa 0.5000 0.0000 0.5000
N1 N 0.2446 0.0000 0.7316
N2 N 0.2499 0.5000 0.2627
N3 N 0.7501 0.5000 0.7373
N4 N 0.7554 0.0000 0.2684
# - SG = P2/m (10)
# - formation energy (no corrections) (eV per atom) = -1.6944
# - E_tot (eV per atom) = -9.263

---

[2]
# Co2Se | Alexandria via LeMat-Bulk | GGA-PBE | relaxed
data_Co2Se
_space_group_name_H-M_alt 'P 1'
_space_group_IT_number 1
_space_group_name_Hall 'P 1'
_cell_length_a 2.8941
_cell_length_b 2.8941
_cell_length_c 5.5444
_cell_angle_alpha 90.00
_cell_angle_beta 90.00
_cell_angle_gamma 120.00
loop_
_atom_site_label
_atom_site_type_symbol
_atom_site_fract_x
_atom_site_fract_y
_atom_site_fract_z
Co1 Co 0.3333 0.6667 0.3371
Co2 Co 0.6667 0.3333 0.6629
Se1 Se 0.0000 0.0000 0.0000
# - polymorph energy (0 for the lowest one) (meV/atom) = 471
# - SG = P-3m1 (164)
# - formation energy (no corrections) (eV per atom) = 0.3406
# - E_tot (eV per atom) = -5.558

---

[3]
# Pr5SmHo2Tm | Alexandria via LeMat-Bulk | GGA-PBE | relaxed
data_Pr5SmHo2Tm
_space_group_name_H-M_alt 'P 1'
_space_group_IT_number 1
_space_group_name_Hall 'P 1'
_cell_length_a 10.6926
_cell_length_b 10.6926
_cell_length_c 10.7860
_cell_angle_alpha 90.00
_cell_angle_beta 90.00
_cell_angle_gamma 149.31
loop_
_atom_site_label
_atom_site_type_symbol
_atom_site_fract_x
_atom_site_fract_y
_atom_site_fract_z
Pr1 Pr 0.0147 0.9853 0.5000
Pr2 Pr 0.2799 0.7201 0.7946
Pr3 Pr 0.2954 0.7046 0.1873
Pr4 Pr 0.3854 0.6146 0.5047
Pr5 Pr 0.4839 0.5161 0.2282
Pr6 Pr 0.5161 0.4839 0.7282
Pr7 Pr 0.6146 0.3854 0.0047
Pr8 Pr 0.7046 0.2954 0.6873
Pr9 Pr 0.7201 0.2799 0.2946
Pr10 Pr 0.9853 0.0147 0.0000
Sm1 Sm 0.1994 0.8006 0.4930
Sm2 Sm 0.8006 0.1994 0.9930
Ho1 Ho 0.1116 0.8884 0.2232
Ho2 Ho 0.1148 0.8852 0.7903
Ho3 Ho 0.8852 0.1148 0.2903
Ho4 Ho 0.8884 0.1116 0.7232
Tm1 Tm 0.4070 0.5930 0.9484
Tm2 Tm 0.5930 0.4070 0.4484
# - SG = Cmc2_1 (36)
# - E_tot (eV per atom) = -4.553

---

[4]
# BaNi6As3 | Alexandria via LeMat-Bulk | GGA-PBE | relaxed
data_BaNi6As3
_space_group_name_H-M_alt 'P 1'
_space_group_IT_number 1
_space_group_name_Hall 'P 1'
_cell_length_a 6.9049
_cell_length_b 6.7670
_cell_length_c 9.8083
_cell_angle_alpha 90.00
_cell_angle_beta 128.87
_cell_angle_gamma 90.00
loop_
_atom_site_label
_atom_site_type_symbol
_atom_site_fract_x
_atom_site_fract_y
_atom_site_fract_z
Ba1 Ba 0.0000 0.0000 0.0000
Ba2 Ba 0.0000 0.5000 0.5000
Ni1 Ni 0.1650 0.0473 0.4864
Ni2 Ni 0.1650 0.4527 0.9864
Ni3 Ni 0.4464 0.1757 0.0047
Ni4 Ni 0.4464 0.3243 0.5047
Ni5 Ni 0.4864 0.2095 0.2806
Ni6 Ni 0.4864 0.2905 0.7806
Ni7 Ni 0.5136 0.7095 0.2194
Ni8 Ni 0.5136 0.7905 0.7194
Ni9 Ni 0.5536 0.6757 0.4953
Ni10 Ni 0.5536 0.8243 0.9953
Ni11 Ni 0.8350 0.5473 0.0136
Ni12 Ni 0.8350 0.9527 0.5136
As1 As 0.2514 0.5038 0.2488
As2 As 0.2514 0.9962 0.7488
As3 As 0.5000 0.0000 0.5000
As4 As 0.5000 0.5000 0.0000
As5 As 0.7486 0.0038 0.2512
As6 As 0.7486 0.4962 0.7512
# - SG = P2_1/c (14)
# - E_tot (eV per atom) = -5.349

---

[5]
# Li8Mg3Al2 | Alexandria via LeMat-Bulk | GGA-PBE | relaxed
data_Li8Mg3Al2
_space_group_name_H-M_alt 'P 1'
_space_group_IT_number 1
_space_group_name_Hall 'P 1'
_cell_length_a 7.1811
_cell_length_b 7.1811
_cell_length_c 5.6817
_cell_angle_alpha 97.92
_cell_angle_beta 97.92
_cell_angle_gamma 70.70
loop_
_atom_site_label
_atom_site_type_symbol
_atom_site_fract_x
_atom_site_fract_y
_atom_site_fract_z
Li1 Li 0.0626 0.6765 0.0370
Li2 Li 0.0746 0.0746 0.3278
Li3 Li 0.2724 0.2724 0.6908
Li4 Li 0.3235 0.9374 0.9630
Li5 Li 0.6765 0.0626 0.0370
Li6 Li 0.7276 0.7276 0.3092
Li7 Li 0.9254 0.9254 0.6722
Li8 Li 0.9374 0.3235 0.9630
Mg1 Mg 0.3194 0.6806 0.5000
Mg2 Mg 0.5000 0.5000 0.0000
Mg3 Mg 0.6806 0.3194 0.5000
Al1 Al 0.3046 0.3046 0.2181
Al2 Al 0.6954 0.6954 0.7819
# - SG = C2/m (12)
# - E_tot (eV per atom) = -2.096

---

[6]
# AcPmTlSn | Alexandria via LeMat-Bulk | GGA-PBE | relaxed
data_AcPmTlSn
_space_group_name_H-M_alt 'P 1'
_space_group_IT_number 1
_space_group_name_Hall 'P 1'
_cell_length_a 7.9934
_cell_length_b 7.9934
_cell_length_c 7.9934
_cell_angle_alpha 90.00
_cell_angle_beta 90.00
_cell_angle_gamma 90.00
loop_
_atom_site_label
_atom_site_type_symbol
_atom_site_fract_x
_atom_site_fract_y
_atom_site_fract_z
Ac1 Ac 0.0000 0.0000 0.0000
Ac2 Ac 0.0000 0.5000 0.5000
Ac3 Ac 0.5000 0.0000 0.5000
Ac4 Ac 0.5000 0.5000 0.0000
Pm1 Pm 0.0000 0.0000 0.5000
Pm2 Pm 0.0000 0.5000 0.0000
Pm3 Pm 0.5000 0.0000 0.0000
Pm4 Pm 0.5000 0.5000 0.5000
Tl1 Tl 0.2500 0.2500 0.7500
Tl2 Tl 0.2500 0.7500 0.2500
Tl3 Tl 0.7500 0.2500 0.2500
Tl4 Tl 0.7500 0.7500 0.7500
Sn1 Sn 0.2500 0.2500 0.2500
Sn2 Sn 0.2500 0.7500 0.7500
Sn3 Sn 0.7500 0.2500 0.7500
Sn4 Sn 0.7500 0.7500 0.2500
# - polymorph energy (0 for the lowest one) (meV/atom) = 2
# - SG = F-43m (216)
# - E_tot (eV per atom) = -4.279

---

[7]
# NaMnPb2Cl6 | Alexandria via LeMat-Bulk | GGA-PBE | relaxed
data_NaMnPb2Cl6
_space_group_name_H-M_alt 'P 1'
_space_group_IT_number 1
_space_group_name_Hall 'P 1'
_cell_length_a 7.5768
_cell_length_b 7.5768
_cell_length_c 7.5768
_cell_angle_alpha 59.16
_cell_angle_beta 59.16
_cell_angle_gamma 59.16
loop_
_atom_site_label
_atom_site_type_symbol
_atom_site_fract_x
_atom_site_fract_y
_atom_site_fract_z
Na1 Na 0.0000 0.0000 0.0000
Mn1 Mn 0.5878 0.5878 0.5878
Pb1 Pb 0.3168 0.3168 0.3168
Pb2 Pb 0.7474 0.7474 0.7474
Cl1 Cl 0.1340 0.3670 0.7241
Cl2 Cl 0.2560 0.8704 0.6176
Cl3 Cl 0.3670 0.7241 0.1340
Cl4 Cl 0.6176 0.2560 0.8704
Cl5 Cl 0.7241 0.1340 0.3670
Cl6 Cl 0.8704 0.6176 0.2560
# - SG = R3 (146)
# - formation energy (no corrections) (eV per atom) = -1.1176
# - E_tot (eV per atom) = -4.016

---

[8]
# Sc2TlTcH | Alexandria via LeMat-Bulk | GGA-PBE | relaxed
data_Sc2TlTcH
_space_group_name_H-M_alt 'P 1'
_space_group_IT_number 1
_space_group_name_Hall 'P 1'
_cell_length_a 4.6833
_cell_length_b 4.6833
_cell_length_c 3.6876
_cell_angle_alpha 90.00
_cell_angle_beta 90.00
_cell_angle_gamma 90.00
loop_
_atom_site_label
_atom_site_type_symbol
_atom_site_fract_x
_atom_site_fract_y
_atom_site_fract_z
Sc1 Sc 0.0000 0.5000 0.0000
Sc2 Sc 0.5000 0.0000 0.0000
Tl1 Tl 0.0000 0.0000 0.5000
Tc1 Tc 0.5000 0.5000 0.5000
H1 H 0.5000 0.5000 0.0000
# - SG = P4/mmm (123)
# - E_tot (eV per atom) = -6.028

---

[9]
# Sm3Dy3Cd | Alexandria via LeMat-Bulk | GGA-PBE | relaxed
data_Sm3Dy3Cd
_space_group_name_H-M_alt 'P 1'
_space_group_IT_number 1
_space_group_name_Hall 'P 1'
_cell_length_a 9.4728
_cell_length_b 9.4728
_cell_length_c 5.5676
_cell_angle_alpha 90.00
_cell_angle_beta 90.00
_cell_angle_gamma 120.00
loop_
_atom_site_label
_atom_site_type_symbol
_atom_site_fract_x
_atom_site_fract_y
_atom_site_fract_z
Sm1 Sm 0.1071 0.4762 0.2500
Sm2 Sm 0.3691 0.8929 0.2500
Sm3 Sm 0.4762 0.3691 0.7500
Sm4 Sm 0.5238 0.6309 0.2500
Sm5 Sm 0.6309 0.1071 0.7500
Sm6 Sm 0.8929 0.5238 0.7500
Dy1 Dy 0.0600 0.2393 0.7500
Dy2 Dy 0.1793 0.9400 0.7500
Dy3 Dy 0.2393 0.1793 0.2500
Dy4 Dy 0.7607 0.8207 0.7500
Dy5 Dy 0.8207 0.0600 0.2500
Dy6 Dy 0.9400 0.7607 0.2500
Cd1 Cd 0.3333 0.6667 0.7500
Cd2 Cd 0.6667 0.3333 0.2500
# - SG = P6_3/m (176)
# - E_tot (eV per atom) = -4.163

---

[10]
# LiB3N | Alexandria via LeMat-Bulk | GGA-PBE | relaxed
data_LiB3N
_space_group_name_H-M_alt 'P 1'
_space_group_IT_number 1
_space_group_name_Hall 'P 1'
_cell_length_a 3.6048
_cell_length_b 3.6048
_cell_length_c 3.6048
_cell_angle_alpha 90.00
_cell_angle_beta 90.00
_cell_angle_gamma 90.00
loop_
_atom_site_label
_atom_site_type_symbol
_atom_site_fract_x
_atom_site_fract_y
_atom_site_fract_z
Li1 Li 0.0000 0.0000 0.0000
B1 B 0.0000 0.0000 0.5000
B2 B 0.0000 0.5000 0.0000
B3 B 0.5000 0.0000 0.0000
N1 N 0.5000 0.5000 0.5000
# - polymorph energy (0 for the lowest one) (meV/atom) = 1155
# - SG = Pm-3m (221)
# - formation energy (no corrections) (eV per atom) = 2.9322
# - E_tot (eV per atom) = -3.122

---

[11]
# Ba3TmC2N6 | Alexandria via LeMat-Bulk | GGA-PBE | relaxed
data_Ba3TmC2N6
_space_group_name_H-M_alt 'P 1'
_space_group_IT_number 1
_space_group_name_Hall 'P 1'
_cell_length_a 5.7428
_cell_length_b 5.7428
_cell_length_c 6.9809
_cell_angle_alpha 90.00
_cell_angle_beta 90.00
_cell_angle_gamma 120.00
loop_
_atom_site_label
_atom_site_type_symbol
_atom_site_fract_x
_atom_site_fract_y
_atom_site_fract_z
Ba1 Ba 0.0000 0.0000 0.0000
Ba2 Ba 0.3333 0.6667 0.6861
Ba3 Ba 0.6667 0.3333 0.3139
Tm1 Tm 0.0000 0.0000 0.5000
C1 C 0.3333 0.6667 0.2898
C2 C 0.6667 0.3333 0.7102
N1 N 0.1947 0.3893 0.2983
N2 N 0.1947 0.8053 0.2983
N3 N 0.3893 0.1947 0.7017
N4 N 0.6107 0.8053 0.2983
N5 N 0.8053 0.1947 0.7017
N6 N 0.8053 0.6107 0.7017
# - SG = P-3m1 (164)
# - formation energy (no corrections) (eV per atom) = -0.6652
# - E_tot (eV per atom) = -7.219

---

[12]
# CeNdScTl | Alexandria via LeMat-Bulk | GGA-PBE | relaxed
data_CeNdScTl
_space_group_name_H-M_alt 'P 1'
_space_group_IT_number 1
_space_group_name_Hall 'P 1'
_cell_length_a 7.5650
_cell_length_b 7.5650
_cell_length_c 7.5650
_cell_angle_alpha 90.00
_cell_angle_beta 90.00
_cell_angle_gamma 90.00
loop_
_atom_site_label
_atom_site_type_symbol
_atom_site_fract_x
_atom_site_fract_y
_atom_site_fract_z
Ce1 Ce 0.0000 0.0000 0.0000
Ce2 Ce 0.0000 0.5000 0.5000
Ce3 Ce 0.5000 0.0000 0.5000
Ce4 Ce 0.5000 0.5000 0.0000
Nd1 Nd 0.2500 0.2500 0.2500
Nd2 Nd 0.2500 0.7500 0.7500
Nd3 Nd 0.7500 0.2500 0.7500
Nd4 Nd 0.7500 0.7500 0.2500
Sc1 Sc 0.2500 0.2500 0.7500
Sc2 Sc 0.2500 0.7500 0.2500
Sc3 Sc 0.7500 0.2500 0.2500
Sc4 Sc 0.7500 0.7500 0.7500
Tl1 Tl 0.0000 0.0000 0.5000
Tl2 Tl 0.0000 0.5000 0.0000
Tl3 Tl 0.5000 0.0000 0.0000
Tl4 Tl 0.5000 0.5000 0.5000
# - SG = F-43m (216)
# - E_tot (eV per atom) = -4.831